DFT (PBE) results for crystalline CaAlAg3 at its relaxed geometry.

Lattice parameters (Å, degrees): 5.474 5.474 5.474 90.00 90.00 90.00
Space group Pm-3m (No. 221)
One atom of each set of equivalent atoms:
Ca: 0.000 0.000 0.000
Al: 0.500 0.500 0.500
Ag: 0.000 0.000 0.500

Summary:
Formation energy (eV per atom): 0.923
Size of the total moment (μB/cell): 0.0

=====

DFT (PBE) results for crystalline Tb2YCu at its relaxed geometry.

Lattice parameters (Å, degrees): 4.887 11.497 7.692 90.00 90.00 90.00
Space group Cmcm (No. 63)
One atom of each set of equivalent atoms:
Tb: 0.000 0.148 0.034
Y: 0.000 0.454 0.250
Cu: 0.000 0.295 0.750

Summary:
Formation energy (eV per atom): -0.067
Size of the total moment (μB/cell): 0.0

=====

DFT (PBE) results for crystalline PrDy2Tm9 at its relaxed geometry.

Lattice parameters (Å, degrees): 11.1010 11.1010 3.4920 90.00 90.00 120.00
Space group P6/mmm (No. 191)
One atom of each set of equivalent atoms:
Pr: 0.0000 0.0000 0.0000
Dy: 0.3333 0.6667 0.0000
Tm: 0.0000 0.5000 0.0000
Tm: 0.1787 0.3574 0.5000

Summary:
Formation energy (eV per atom): 0.043
Size of the total moment (μB/cell): 0.0

=====

DFT (PBE) results for crystalline SrLa2Ni2 at its relaxed geometry.

Lattice parameters (Å, degrees): 4.923 4.923 11.274 90.00 90.00 90.00
Space group I4/mmm (No. 139)
One atom of each set of equivalent atoms:
Sr: 0.000 0.000 0.000
La: 0.000 0.500 0.250
Ni: 0.000 0.000 0.393

Summary:
Formation energy (eV per atom): -0.055
Size of the total moment (μB/cell): 0.0

=====

DFT (PBE) results for crystalline AlGeO2 at its relaxed geometry.

Lattice parameters (Å, degrees): 5.676 5.676 5.676 90.00 90.00 90.00
Space group Fm-3m (No. 225)
One atom of each set of equivalent atoms:
Al: 0.000 0.000 0.000
Ge: 0.000 0.000 0.500
O: 0.250 0.250 0.250

Summary:
Calculated total energy (eV per atom): -5.088
Size of the total moment (μB/cell): 0.0

=====

DFT (PBE) results for crystalline Na3YMn at its relaxed geometry.

Lattice parameters (Å, degrees): 5.494 5.494 5.494 90.00 90.00 90.00
Space group Pm-3m (No. 221)
One atom of each set of equivalent atoms:
Na: 0.000 0.000 0.500
Y: 0.500 0.500 0.500
Mn: 0.000 0.000 0.000

Summary:
Formation energy (eV per atom): 0.909
Size of the total moment (μB/cell): 3.0

=====

DFT (PBE) results for crystalline LiLaPH at its relaxed geometry.

Lattice parameters (Å, degrees): 6.611 6.611 6.611 90.00 90.00 90.00
Space group F-43m (No. 216)
One atom of each set of equivalent atoms:
Li: 0.000 0.000 0.000
La: 0.000 0.000 0.500
P: 0.250 0.250 0.750
H: 0.250 0.250 0.250

Summary:
Calculated total energy (eV per atom): -4.671
Size of the total moment (μB/cell): 0.0

=====

DFT (PBE) results for crystalline K3AsH5 at its relaxed geometry.

Lattice parameters (Å, degrees): 7.393 7.393 13.062 90.00 90.00 90.00
Space group I4/mcm (No. 140)
One atom of each set of equivalent atoms:
K: 0.000 0.000 0.250
K: 0.184 0.316 0.000
As: 0.000 0.500 0.250
H: 0.000 0.000 0.000
H: 0.112 0.388 0.365

Summary:
Calculated total energy (eV per atom): -2.570
Size of the total moment (μB/cell): 1.8

=====

DFT (PBE) results for crystalline KBeCl at its relaxed geometry.

Lattice parameters (Å, degrees): 3.665 7.531 13.327 90.00 90.00 90.00
Space group Fmm2 (No. 42)
One atom of each set of equivalent atoms:
K: 0.000 0.000 0.000
Be: 0.000 0.000 0.304
Cl: 0.000 0.000 0.696

Summary:
Calculated total energy (eV per atom): -2.291
Size of the total moment (μB/cell): 0.0

=====

DFT (PBE) results for crystalline CaAlN2 at its relaxed geometry.

Lattice parameters (Å, degrees): 3.2258 3.2258 18.6448 90.00 90.00 120.00
Space group R-3m (No. 166, hexagonal axes)
One atom of each set of equivalent atoms:
Ca: 0.0000 0.0000 0.0000
Al: 0.0000 0.0000 0.5000
N: 0.0000 0.0000 0.1170

Summary:
Calculated total energy (eV per atom): -5.486
Size of the total moment (μB/cell): 3.7

=====

DFT (PBE) results for crystalline CrCSeN2 at its relaxed geometry.

Lattice parameters (Å, degrees): 3.543 3.543 5.304 90.00 90.00 90.00
Space group P4/mmm (No. 123)
One atom of each set of equivalent atoms:
Cr: 0.000 0.000 0.000
C: 0.500 0.500 0.500
Se: 0.000 0.000 0.500
N: 0.000 0.500 0.000

Summary:
Calculated total energy (eV per atom): -6.273
Size of the total moment (μB/cell): 0.7

=====

DFT (PBE) results for crystalline Tb5Ho12Zr3 at its relaxed geometry.

Lattice parameters (Å, degrees): 18.270 18.270 18.270 90.00 90.00 90.00
Space group Ia-3d (No. 230)
One atom of each set of equivalent atoms:
Tb: 0.000 0.000 0.000
Tb: 0.000 0.250 0.375
Ho: 0.009 0.088 0.647
Zr: 0.000 0.250 0.125

Summary:
Formation energy (eV per atom): 1.085
Size of the total moment (μB/cell): 14.9